# 1
# ScHgCl2

A geometry-optimized ScHgCl2 structure (PBE, the Alexandria database).

abc: 11.182 11.182 11.182
angles: 18.34 18.34 18.34
Element x y z (fractional)
1 Hg 0.000 0.000 0.000
2 Sc 0.500 0.500 0.500
3 Cl 0.120 0.120 0.120
4 Cl 0.880 0.880 0.880

- total magnetization (μB per formula unit) = 0.000
- DFT total energy (eV/cell) = -15.88
- E above lowest polymorph (meV/atom) = 0
- energy relative to the elements, uncorrected (meV per atom) = -1390
- symmetry = No. 166

# 2
# Tb2PrSi2Ni2

A geometry-optimized Tb2PrSi2Ni2 structure (PBE, the Alexandria database).

abc: 4.189 4.189 10.007
angles: 77.92 77.92 60.00
Element x y z (fractional)
1 Pr 0.000 0.000 0.000
2 Si 0.262 0.262 0.214
3 Si 0.738 0.738 0.786
4 Tb 0.876 0.876 0.371
5 Tb 0.124 0.124 0.629
6 Ni 0.402 0.402 0.793
7 Ni 0.598 0.598 0.207

- total magnetization (μB per formula unit) = 0.000
- DFT total energy (eV/cell) = -40.78
- energy relative to the elements, uncorrected (meV per atom) = -619
- symmetry = No. 166

# 3
# CoReAu2

A geometry-optimized CoReAu2 structure (PBE, the Alexandria database).

abc: 4.082 2.720 6.214
angles: 64.02 90.00 90.00
Site moments in Bohr magnetons follow the coordinates.
Element x y z (fractional)
1 Au 0.000 0.998 0.002  0.01
2 Au 0.000 0.502 0.498  0.01
3 Re 0.500 0.750 0.750  0.08
4 Co 0.500 0.250 0.250  1.72

- total magnetization (μB per formula unit) = 1.781
- DFT total energy (eV/cell) = -23.95
- E above lowest polymorph (meV/atom) = 342
- energy relative to the elements (eV per atom) = 0.540
- symmetry = No. 47

# 4
# CaDySnBi

A geometry-optimized CaDySnBi structure (PBE, the Alexandria database).

abc: 5.496 5.496 5.496
angles: 60.00 60.00 60.00
Element x y z (fractional)
1 Sn 0.250 0.250 0.250
2 Dy 0.000 0.000 0.000
3 Bi 0.750 0.750 0.750
4 Ca 0.500 0.500 0.500

- total magnetization (μB per formula unit) = 0.000
- DFT total energy (eV/cell) = -16.67
- energy relative to the elements (eV per atom) = -0.545
- symmetry = No. 216

# 5
# Ac4AsPdSe2

A geometry-optimized Ac4AsPdSe2 structure (PBE, the Alexandria database).

abc: 4.443 7.836 7.838
angles: 108.85 90.00 90.00
Element x y z (fractional)
1 Ac 0.000 0.743 0.238
2 Ac 0.500 0.247 0.243
3 Ac 0.000 0.257 0.762
4 Ac 0.500 0.753 0.757
5 Se 0.000 0.500 0.500
6 Se 0.500 0.000 0.500
7 Pd 0.500 0.500 0.000
8 As 0.000 0.000 0.000

- total magnetization (μB per formula unit) = 0.000
- DFT total energy (eV/cell) = -45.05
- energy relative to the elements, uncorrected (meV per atom) = -1476
- symmetry = No. 10

# 6
# NpPa

A geometry-optimized NpPa structure (PBE, the Alexandria database).

abc: 3.192 3.815 7.196
angles: 90.00 84.76 90.00
Element x y z (fractional)
1 Pa 0.226 0.750 0.633
2 Pa 0.774 0.250 0.367
3 Np 0.655 0.250 0.914
4 Np 0.345 0.750 0.086

- total magnetization (μB per formula unit) = 0.000
- DFT total energy (eV/cell) = -44.49
- energy relative to the elements (eV per atom) = 0.096
- symmetry = No. 11

# 7
# NdErZr2

A geometry-optimized NdErZr2 structure (PBE, the Alexandria database).

abc: 4.815 4.743 4.743
angles: 90.00 90.00 90.00
Element x y z (fractional)
1 Er 0.500 0.000 0.000
2 Nd 0.500 0.500 0.500
3 Zr 0.000 0.500 0.000
4 Zr 0.000 0.000 0.500

- total magnetization (μB per formula unit) = 0.000
- DFT total energy (eV/cell) = -25.81
- E above lowest polymorph (meV/atom) = 0
- energy relative to the elements (eV per atom) = 0.154
- symmetry = No. 123

# 8
# CeGdRu

A geometry-optimized CeGdRu structure (PBE, the Alexandria database).

abc: 4.817 4.817 4.817
angles: 60.00 60.00 60.00
Site moments in Bohr magnetons follow the coordinates.
Element x y z (fractional)
1 Ce 0.500 0.500 0.500  0.63
2 Gd 0.000 0.000 0.000  7.11
3 Ru 0.250 0.250 0.250  -0.18

- total magnetization (μB per formula unit) = 7.834
- DFT total energy (eV/cell) = -29.78
- E above lowest polymorph (meV/atom) = 47
- energy relative to the elements (eV per atom) = -0.163
- symmetry = No. 216

Number 1: volume 30.24 A^3/atom. Number 2: volume 21.08 A^3/atom. Number 3: volume 15.51 A^3/atom. Number 4: volume 29.35 A^3/atom. Number 5: volume 32.28 A^3/atom. Number 6: volume 21.81 A^3/atom. Number 7: volume 27.08 A^3/atom. Number 8: volume 26.34 A^3/atom.